{
  "formula": "Li2TaAu",
  "functional": "PBE-GGA",
  "state": "relaxed",
  "relative_energy_mev_per_atom": 104,
  "final_energy_ev_per_atom": -4.63,
  "spacegroup": "Cm, No. 8",
  "formation_enthalpy_0k_kj_per_mol_atoms": 10.94,
  "cell": [[4.741, -1.353, 0.000], [4.741, 1.353, 0.000], [-0.576, 0.000, 5.306]],
  "species": ["Li", "Li", "Ta", "Au"],
  "fractional_positions": [[0.000, 0.000, 0.000], [0.241, 0.241, 0.812], [0.481, 0.481, 0.486], [0.733, 0.733, 0.294]]
}